(1)
A plane-wave DFT calculation with PBE-GGA was carried out for CeY3Zn4 after structural relaxation.

Geometry as POSCAR:
```
CeY3Zn4
1.0
2.544 1.469 8.276
-2.544 1.469 8.276
0.000 -2.937 8.276
Ce Y Zn
1 3 4
Cartesian
0.000 0.000 0.000 Ce
0.000 0.000 6.221 Y
0.000 0.000 12.414 Y
0.000 0.000 18.607 Y
0.000 0.000 3.116 Zn
0.000 0.000 9.340 Zn
0.000 0.000 15.488 Zn
0.000 0.000 21.712 Zn
```

As for the space group: R-3m. Its crystal system is trigonal.

(2)
A plane-wave DFT calculation with PBE-GGA was carried out for CeY2Zn after structural relaxation.

Geometry as POSCAR:
```
CeY2Zn
1.0
1.696 0.979 11.290
-1.696 0.979 11.290
0.000 -1.959 11.290
Ce Y Zn
1 2 1
Cartesian
0.000 0.000 0.000 Ce
0.000 0.000 3.353 Y
0.000 0.000 30.515 Y
0.000 0.000 16.934 Zn
```

As for the space group: R-3m. The value obtained for the polymorph energy (0 for the lowest one) is 0.254 eV/atom. Its crystal system is trigonal.

(3)
A plane-wave DFT calculation with PBE-GGA was carried out for CeY2Zn3 after structural relaxation.

Geometry as POSCAR:
```
CeY2Zn3
1.0
3.568 0.000 0.000
0.000 3.568 0.000
0.000 0.000 10.930
Ce Y Zn
1 2 3
Cartesian
0.000 0.000 0.000 Ce
0.000 0.000 3.674 Y
0.000 0.000 7.256 Y
1.784 1.784 1.917 Zn
1.784 1.784 5.465 Zn
1.784 1.784 9.012 Zn
```

As for the space group: P4/mmm. Its crystal system is tetragonal.

(4)
A plane-wave DFT calculation with PBE-GGA was carried out for Ce2YZn9 after structural relaxation.

Geometry as POSCAR:
```
Ce2YZn9
1.0
2.695 1.556 8.815
-2.695 1.556 8.815
0.000 -3.112 8.815
Ce Y Zn
2 1 9
Cartesian
0.000 0.000 3.900 Ce
0.000 0.000 22.544 Ce
0.000 0.000 0.000 Y
-1.363 -0.787 10.944 Zn
0.000 0.000 8.866 Zn
0.000 -1.574 15.500 Zn
-1.363 0.787 15.500 Zn
0.000 0.000 13.222 Zn
1.363 -0.787 10.944 Zn
0.000 1.574 10.944 Zn
0.000 0.000 17.578 Zn
1.363 0.787 15.500 Zn
```

As for the space group: R-3m. Its crystal system is trigonal.

(5)
A plane-wave DFT calculation with PBE-GGA was carried out for Ce2YZn4 after structural relaxation.

Geometry as POSCAR:
```
Ce2YZn4
1.0
7.062 -2.553 0.000
7.062 2.553 0.000
-1.841 0.000 4.763
Ce Y Zn
2 1 4
Cartesian
2.802 0.000 1.087 Ce
9.481 0.000 3.675 Ce
6.141 0.000 2.381 Y
0.387 0.000 2.892 Zn
3.912 0.000 4.257 Zn
8.371 0.000 0.506 Zn
11.896 0.000 1.871 Zn
```

As for the space group: C2/m. Its crystal system is monoclinic.

(6)
A plane-wave DFT calculation with PBE-GGA was carried out for CeY2Zn9 after structural relaxation.

Geometry as POSCAR:
```
CeY2Zn9
1.0
2.728 1.575 8.640
-2.728 1.575 8.640
0.000 -3.150 8.640
Ce Y Zn
1 2 9
Cartesian
0.000 0.000 0.000 Ce
0.000 0.000 3.637 Y
0.000 0.000 22.284 Y
-1.389 -0.802 10.788 Zn
0.000 0.000 8.681 Zn
0.000 -1.604 15.133 Zn
-1.389 0.802 15.133 Zn
0.000 0.000 12.961 Zn
1.389 -0.802 10.788 Zn
0.000 1.604 10.788 Zn
0.000 0.000 17.240 Zn
1.389 0.802 15.133 Zn
```

As for the space group: R-3m. Its crystal system is trigonal.

(7)
A plane-wave DFT calculation with PBE-GGA was carried out for Ce3YZn8 after structural relaxation.

Geometry as POSCAR:
```
Ce3YZn8
1.0
5.619 0.000 0.000
-2.810 4.866 0.000
0.000 0.000 8.564
Ce Y Zn
3 1 8
Cartesian
0.000 0.000 0.000 Ce
0.000 0.000 2.888 Ce
0.000 3.244 7.432 Ce
0.000 3.244 4.175 Y
1.372 0.792 5.741 Zn
2.810 0.006 1.506 Zn
1.410 2.430 1.506 Zn
2.810 1.622 3.635 Zn
2.810 1.622 7.883 Zn
4.247 0.792 5.741 Zn
2.810 3.282 5.741 Zn
4.209 2.430 1.506 Zn
```

As for the space group: P3m1. Its crystal system is trigonal.

(8)
A plane-wave DFT calculation with PBE-GGA was carried out for CeY2Zn6 after structural relaxation.

Geometry as POSCAR:
```
CeY2Zn6
1.0
7.818 0.000 0.000
-3.909 6.770 0.000
0.000 0.000 3.493
Ce Y Zn
1 2 6
Cartesian
0.000 0.000 0.000 Ce
0.000 4.514 0.000 Y
3.909 2.257 0.000 Y
-1.313 2.274 1.747 Zn
-2.596 4.496 1.747 Zn
2.626 0.000 1.747 Zn
1.313 2.274 1.747 Zn
5.192 0.000 1.747 Zn
2.596 4.496 1.747 Zn
```

As for the space group: P6/mmm. Its crystal system is hexagonal.

(9)
A plane-wave DFT calculation with PBE-GGA was carried out for Ce2YZn after structural relaxation.

Geometry as POSCAR:
```
Ce2YZn
1.0
4.421 0.000 0.000
0.000 4.421 0.000
0.000 0.000 5.163
Ce Y Zn
2 1 1
Cartesian
0.000 2.210 0.000 Ce
2.210 0.000 0.000 Ce
0.000 0.000 2.581 Y
2.210 2.210 2.581 Zn
```

As for the space group: P4/mmm. The value obtained for the polymorph energy (0 for the lowest one) is 0.000 eV/atom. Its crystal system is tetragonal.

(10)
A plane-wave DFT calculation with PBE-GGA was carried out for CeY2Zn after structural relaxation.

Geometry as POSCAR:
```
CeY2Zn
1.0
4.798 0.000 0.000
0.000 4.798 0.000
0.000 0.000 4.662
Ce Y Zn
1 2 1
Cartesian
0.000 0.000 0.000 Ce
0.000 2.399 2.331 Y
2.399 0.000 2.331 Y
2.399 2.399 0.000 Zn
```

As for the space group: P4/mmm. The value obtained for the polymorph energy (0 for the lowest one) is 0.138 eV/atom. Its crystal system is tetragonal.

(11)
A plane-wave DFT calculation with PBE-GGA was carried out for CeYZn10 after structural relaxation.

Geometry as POSCAR:
```
CeYZn10
1.0
4.235 0.000 0.000
0.000 5.349 0.000
0.000 0.000 9.233
Ce Y Zn
1 1 10
Cartesian
0.000 0.000 0.000 Ce
0.000 2.675 4.617 Y
0.000 0.000 3.116 Zn
0.000 0.000 6.117 Zn
0.000 2.675 1.579 Zn
0.000 2.675 7.655 Zn
2.118 0.000 4.617 Zn
2.118 1.332 2.305 Zn
2.118 1.332 6.929 Zn
2.118 2.675 0.000 Zn
2.118 4.017 2.305 Zn
2.118 4.017 6.929 Zn
```

As for the space group: Pmmm. Its crystal system is orthorhombic.

(12)
A plane-wave DFT calculation with PBE-GGA was carried out for CeY2Zn after structural relaxation.

Geometry as POSCAR:
```
CeY2Zn
1.0
1.784 1.030 10.346
-1.784 1.030 10.346
0.000 -2.060 10.346
Ce Y Zn
1 2 1
Cartesian
0.000 0.000 0.000 Ce
0.000 0.000 17.730 Y
0.000 0.000 23.631 Y
0.000 0.000 5.150 Zn
```

As for the space group: R3m. The value obtained for the polymorph energy (0 for the lowest one) is 0.108 eV/atom. Its crystal system is trigonal.

(13)
A plane-wave DFT calculation with PBE-GGA was carried out for Ce2YZn after structural relaxation.

Geometry as POSCAR:
```
Ce2YZn
1.0
0.000 3.786 3.786
3.786 0.000 3.786
3.786 3.786 0.000
Ce Y Zn
2 1 1
Cartesian
1.893 1.893 1.893 Ce
5.680 5.680 5.680 Ce
0.000 0.000 0.000 Y
3.786 3.786 3.786 Zn
```

As for the space group: Fm-3m. The value obtained for the polymorph energy (0 for the lowest one) is 0.158 eV/atom. Its crystal system is cubic.

(14)
A plane-wave DFT calculation with PBE-GGA was carried out for CeYZn3 after structural relaxation.

Geometry as POSCAR:
```
CeYZn3
1.0
1.755 -13.681 0.000
1.755 13.681 0.000
0.000 0.000 4.567
Ce Y Zn
2 2 6
Cartesian
1.755 11.682 3.425 Ce
1.755 -11.682 1.142 Ce
1.755 7.948 1.142 Y
1.755 -7.948 3.425 Y
1.755 4.740 1.142 Zn
1.755 3.283 3.425 Zn
1.755 0.650 3.425 Zn
1.755 -0.650 1.142 Zn
1.755 -3.283 1.142 Zn
1.755 -4.740 3.425 Zn
```

As for the space group: Cmcm. Its crystal system is orthorhombic.

(15)
A plane-wave DFT calculation with PBE-GGA was carried out for Ce2YZn after structural relaxation.

Geometry as POSCAR:
```
Ce2YZn
1.0
3.770 0.000 0.000
0.000 3.770 0.000
0.000 0.000 7.813
Ce Y Zn
2 1 1
Cartesian
0.000 0.000 1.521 Ce
0.000 0.000 6.291 Ce
1.885 1.885 3.906 Y
1.885 1.885 0.000 Zn
```

As for the space group: P4/mmm. The value obtained for the polymorph energy (0 for the lowest one) is 0.005 eV/atom. Its crystal system is tetragonal.

(16)
A plane-wave DFT calculation with PBE-GGA was carried out for CeY2Zn after structural relaxation.

Geometry as POSCAR:
```
CeY2Zn
1.0
3.531 0.000 0.000
0.000 3.531 0.000
0.000 0.000 8.722
Ce Y Zn
1 2 1
Cartesian
0.000 0.000 0.000 Ce
1.766 1.766 2.548 Y
1.766 1.766 6.174 Y
0.000 0.000 4.361 Zn
```

As for the space group: P4/mmm. The value obtained for the polymorph energy (0 for the lowest one) is 0.000 eV/atom. Its crystal system is tetragonal.

(17)
A plane-wave DFT calculation with PBE-GGA was carried out for CeYZr2 after structural relaxation.

Geometry as POSCAR:
```
CeYZr2
1.0
3.900 0.000 0.000
0.000 3.900 0.000
0.000 0.000 6.942
Ce Y Zr
1 1 2
Cartesian
0.000 0.000 0.000 Ce
0.000 0.000 3.471 Y
1.950 1.950 1.490 Zr
1.950 1.950 5.452 Zr
```

As for the space group: P4/mmm. The value obtained for the polymorph energy (0 for the lowest one) is 0.037 eV/atom. Its crystal system is tetragonal.

(18)
A plane-wave DFT calculation with PBE-GGA was carried out for CeYZr2 after structural relaxation.

Geometry as POSCAR:
```
CeYZr2
1.0
4.714 0.000 0.000
0.000 4.714 0.000
0.000 0.000 4.752
Ce Y Zr
1 1 2
Cartesian
0.000 0.000 0.000 Ce
2.357 2.357 0.000 Y
0.000 2.357 2.376 Zr
2.357 0.000 2.376 Zr
```

As for the space group: P4/mmm. The value obtained for the polymorph energy (0 for the lowest one) is 0.021 eV/atom. Its crystal system is tetragonal.

(19)
A plane-wave DFT calculation with PBE-GGA was carried out for CeYZr2 after structural relaxation.

Geometry as POSCAR:
```
CeYZr2
1.0
1.685 0.973 10.744
-1.685 0.973 10.744
0.000 -1.945 10.744
Ce Y Zr
1 1 2
Cartesian
0.000 0.000 0.000 Ce
0.000 0.000 5.364 Y
0.000 0.000 13.366 Zr
0.000 0.000 18.834 Zr
```

As for the space group: R3m. The value obtained for the polymorph energy (0 for the lowest one) is 0.000 eV/atom. Its crystal system is trigonal.

(20)
A plane-wave DFT calculation with PBE-GGA was carried out for CeYZr2 after structural relaxation.

Geometry as POSCAR:
```
CeYZr2
1.0
1.642 0.948 11.534
-1.642 0.948 11.534
0.000 -1.896 11.534
Ce Y Zr
1 1 2
Cartesian
0.000 0.000 0.000 Ce
0.000 0.000 17.300 Y
0.000 0.000 14.180 Zr
0.000 0.000 20.421 Zr
```

As for the space group: R-3m. The value obtained for the polymorph energy (0 for the lowest one) is 0.186 eV/atom. Its crystal system is trigonal.

(21)
A plane-wave DFT calculation with PBE-GGA was carried out for Ce2YZr after structural relaxation.

Geometry as POSCAR:
```
Ce2YZr
1.0
3.300 0.000 0.000
0.000 3.300 0.000
0.000 0.000 10.229
Ce Y Zr
2 1 1
Cartesian
0.000 0.000 2.404 Ce
0.000 0.000 7.826 Ce
1.650 1.650 5.115 Y
1.650 1.650 0.000 Zr
```

As for the space group: P4/mmm. The value obtained for the polymorph energy (0 for the lowest one) is 0.000 eV/atom. Its crystal system is tetragonal.

(22)
A plane-wave DFT calculation with PBE-GGA was carried out for Ce2YZr after structural relaxation.

Geometry as POSCAR:
```
Ce2YZr
1.0
4.700 0.000 0.000
0.000 4.700 0.000
0.000 0.000 5.027
Ce Y Zr
2 1 1
Cartesian
0.000 2.350 0.000 Ce
2.350 0.000 0.000 Ce
0.000 0.000 2.514 Y
2.350 2.350 2.514 Zr
```

As for the space group: P4/mmm. The value obtained for the polymorph energy (0 for the lowest one) is 0.021 eV/atom. Its crystal system is tetragonal.

(23)
A plane-wave DFT calculation with PBE-GGA was carried out for Ce2YZr after structural relaxation.

Geometry as POSCAR:
```
Ce2YZr
1.0
1.621 0.936 12.023
-1.621 0.936 12.023
0.000 -1.872 12.023
Ce Y Zr
2 1 1
Cartesian
0.000 0.000 2.944 Ce
0.000 0.000 33.124 Ce
0.000 0.000 18.034 Y
0.000 0.000 0.000 Zr
```

As for the space group: R-3m. The value obtained for the polymorph energy (0 for the lowest one) is 0.164 eV/atom. Its crystal system is trigonal.

(24)
A plane-wave DFT calculation with PBE-GGA was carried out for Ce2YZr after structural relaxation.

Geometry as POSCAR:
```
Ce2YZr
1.0
0.000 3.843 3.843
3.843 0.000 3.843
3.843 3.843 0.000
Ce Y Zr
2 1 1
Cartesian
1.921 1.921 1.921 Ce
5.764 5.764 5.764 Ce
0.000 0.000 0.000 Y
3.843 3.843 3.843 Zr
```

As for the space group: Fm-3m. The value obtained for the polymorph energy (0 for the lowest one) is 0.135 eV/atom. Its crystal system is cubic.

(25)
A plane-wave DFT calculation with PBE-GGA was carried out for YbCe6 after structural relaxation.

Geometry as POSCAR:
```
YbCe6
1.0
-3.824 3.824 3.824
3.824 -3.824 3.824
3.824 3.824 -3.824
Yb Ce
1 6
Cartesian
0.000 0.000 0.000 Yb
3.824 1.912 0.000 Ce
3.824 0.000 1.912 Ce
1.912 3.824 0.000 Ce
1.912 0.000 3.824 Ce
0.000 3.824 1.912 Ce
0.000 1.912 3.824 Ce
```

As for the space group: Im-3m. Its crystal system is cubic.

(26)
A plane-wave DFT calculation with PBE-GGA was carried out for Yb6Ce after structural relaxation.

Geometry as POSCAR:
```
Yb6Ce
1.0
-4.420 4.420 4.420
4.420 -4.420 4.420
4.420 4.420 -4.420
Yb Ce
6 1
Cartesian
4.420 2.210 0.000 Yb
4.420 0.000 2.210 Yb
2.210 4.420 0.000 Yb
2.210 0.000 4.420 Yb
0.000 4.420 2.210 Yb
0.000 2.210 4.420 Yb
0.000 0.000 0.000 Ce
```

As for the space group: Im-3m. Its crystal system is cubic.

(27)
A plane-wave DFT calculation with PBE-GGA was carried out for YbCeZn2 after structural relaxation.

Geometry as POSCAR:
```
YbCeZn2
1.0
0.000 3.613 3.613
3.613 0.000 3.613
3.613 3.613 0.000
Yb Ce Zn
1 1 2
Cartesian
0.000 0.000 0.000 Yb
3.613 3.613 3.613 Ce
1.807 1.807 1.807 Zn
5.420 5.420 5.420 Zn
```

As for the space group: Fm-3m. Its crystal system is cubic.

| no. | final energy (eV/atom) | energy of formation (eV per atom) |
| --- | --- | --- |
| 1 | -4.1087 | -0.306 |
| 2 | -4.9010 | 0.133 |
| 3 | -4.0747 | -0.294 |
| 4 | -2.7502 | -0.267 |
| 5 | -3.4113 | -0.064 |
| 6 | -2.8351 | -0.308 |
| 7 | -3.1502 | -0.279 |
| 8 | -3.2936 | -0.349 |
| 9 | -4.9124 | -0.011 |
| 10 | -5.0179 | 0.016 |
| 11 | -2.3612 | -0.266 |
| 12 | -5.0472 | -0.013 |
| 13 | -4.7539 | 0.148 |
| 14 | -3.5337 | -0.290 |
| 15 | -4.9075 | -0.006 |
| 16 | -5.1555 | -0.121 |
| 17 | -7.2152 | 0.158 |
| 18 | -7.2308 | 0.143 |
| 19 | -7.2521 | 0.121 |
| 20 | -7.0662 | 0.307 |
| 21 | -6.5930 | 0.127 |
| 22 | -6.5724 | 0.148 |
| 23 | -6.4290 | 0.291 |
| 24 | -6.4576 | 0.262 |
| 25 | -4.6968 | 0.607 |
| 26 | -1.0419 | 1.114 |
| 27 | -2.7853 | -0.283 |